Y4HoSc6 | PBE-GGA | relaxed

abc: 9.0664 9.0664 9.0664
angles: 59.44 138.96 138.96
Fractional positions:
Y 0.0000 0.0120 0.6281
Y 0.3839 0.3719 0.3719
Y 0.0000 0.6281 0.0120
Y 0.6161 0.9880 0.9880
Ho 0.0000 0.0000 0.0000
Sc 0.0000 0.7834 0.4419
Sc 0.0000 0.4419 0.7834
Sc 0.6585 0.2166 0.2166
Sc 0.5000 0.0000 0.5000
Sc 0.3415 0.5581 0.5581
Sc 0.5000 0.5000 0.0000

Computed properties:
- density (g/cm³) = 4.1
- space group = No. 121
- E (eV per atom) = -5.94
- total magnetic moment (Bohr magnetons per cell) = 0.00

Y2Ho3Sc | PBE-GGA | relaxed

abc: 6.4357 6.7362 9.1474
angles: 93.49 110.60 90.00
Fractional positions:
Y 0.7480 0.6865 0.3670
Y 0.6189 0.1865 0.3670
Y 0.3811 0.8135 0.6330
Y 0.2520 0.3135 0.6330
Ho 0.6775 0.2500 0.0000
Ho 0.3225 0.7500 0.0000
Ho 0.1036 0.0181 0.2853
Ho 0.8184 0.4819 0.7147
Ho 0.1816 0.5181 0.2853
Ho 0.8964 0.9819 0.7147
Sc 0.8150 0.7500 0.0000
Sc 0.1850 0.2500 0.0000

Computed properties:
- density (g/cm³) = 6.4
- space group = No. 15
- E (eV per atom) = -5.38
- total magnetic moment (Bohr magnetons per cell) = 0.00

Y2Ho4Sc3 | PBE-GGA | relaxed

abc: 3.4867 9.2214 9.2005
angles: 115.31 100.92 90.00
Fractional positions:
Y 0.6643 0.9929 0.3285
Y 0.3357 0.0071 0.6715
Ho 0.4805 0.6631 0.9610
Ho 0.1863 0.3335 0.3726
Ho 0.5195 0.3369 0.0390
Ho 0.8137 0.6665 0.6274
Sc 0.1477 0.6627 0.2953
Sc 0.8523 0.3373 0.7047
Sc 0.0000 0.0000 0.0000

Computed properties:
- density (g/cm³) = 6.2
- space group = No. 12
- E (eV per atom) = -5.55
- total magnetic moment (Bohr magnetons per cell) = 0.00

Y5Ho6Sc2 | PBE-GGA | relaxed

abc: 3.5439 11.2545 20.0704
angles: 90.00 90.00 90.00
Fractional positions:
Y 0.5000 0.4378 0.4218
Y 0.5000 0.5622 0.5782
Y 0.5000 0.9378 0.0782
Y 0.5000 0.0622 0.9218
Y 0.5000 0.6434 0.2798
Y 0.5000 0.3566 0.7202
Y 0.5000 0.1434 0.2202
Y 0.5000 0.8566 0.7798
Y 0.5000 0.5000 0.0000
Y 0.5000 0.0000 0.5000
Ho 0.0000 0.1656 0.3830
Ho 0.0000 0.8344 0.6170
Ho 0.0000 0.6656 0.1170
Ho 0.0000 0.3344 0.8830
Ho 0.5000 0.4189 0.1551
Ho 0.5000 0.5811 0.8449
Ho 0.5000 0.9189 0.3449
Ho 0.5000 0.0811 0.6551
Ho 0.0000 0.7193 0.4447
Ho 0.0000 0.2807 0.5553
Ho 0.0000 0.2193 0.0553
Ho 0.0000 0.7807 0.9447
Sc 0.0000 0.3833 0.2862
Sc 0.0000 0.6167 0.7138
Sc 0.0000 0.8833 0.2138
Sc 0.0000 0.1167 0.7862

Computed properties:
- density (g/cm³) = 6.3
- space group = No. 55
- E (eV per atom) = -5.53
- total magnetic moment (Bohr magnetons per cell) = 0.00

Y6HoSc3 | PBE-GGA | relaxed

abc: 6.2100 10.6723 10.6723
angles: 121.64 90.00 90.00
Fractional positions:
Y 0.0371 0.7042 0.6315
Y 0.5371 0.6315 0.7042
Y 0.3567 0.5560 0.9613
Y 0.8567 0.9613 0.5560
Y 0.3629 0.9532 0.0468
Y 0.6742 0.3021 0.6979
Y 0.1742 0.6979 0.3021
Y 0.8629 0.0468 0.9532
Y 0.3567 0.0387 0.4440
Y 0.8567 0.4440 0.0387
Y 0.0371 0.3685 0.2958
Y 0.5371 0.2958 0.3685
Ho 0.1888 0.2104 0.7896
Ho 0.6888 0.7896 0.2104
Sc 0.4269 0.9261 0.6968
Sc 0.9269 0.6968 0.9261
Sc 0.1180 0.3858 0.6142
Sc 0.6180 0.6142 0.3858
Sc 0.9269 0.0739 0.3032
Sc 0.4269 0.3032 0.0739

Computed properties:
- density (g/cm³) = 4.6
- space group = No. 36
- E (eV per atom) = -6.07
- total magnetic moment (Bohr magnetons per cell) = 0.00

Y12HoSc6 | PBE-GGA | relaxed

abc: 9.0833 9.0833 9.0833
angles: 109.47 109.47 109.47
Fractional positions:
Y 0.2684 0.0737 0.8053
Y 0.2684 0.4631 0.1947
Y 0.7316 0.5369 0.8053
Y 0.7316 0.9263 0.1947
Y 0.0737 0.8053 0.2684
Y 0.4631 0.1947 0.2684
Y 0.5369 0.8053 0.7316
Y 0.9263 0.1947 0.7316
Y 0.8053 0.2684 0.0737
Y 0.1947 0.2684 0.4631
Y 0.8053 0.7316 0.5369
Y 0.1947 0.7316 0.9263
Ho 0.0000 0.0000 0.0000
Sc 0.3627 0.5000 0.8627
Sc 0.6373 0.5000 0.1373
Sc 0.5000 0.8627 0.3627
Sc 0.5000 0.1373 0.6373
Sc 0.8627 0.3627 0.5000
Sc 0.1373 0.6373 0.5000

Computed properties:
- density (g/cm³) = 4.3
- space group = No. 204
- E (eV per atom) = -6.10
- total magnetic moment (Bohr magnetons per cell) = 0.00

Y3Ho5Sc3 | PBE-GGA | relaxed

abc: 5.5629 9.2487 9.2487
angles: 120.00 90.00 90.00
Fractional positions:
Y 0.0000 0.4693 0.4693
Y 0.0000 0.5307 0.0000
Y 0.0000 0.0000 0.5307
Ho 0.5000 0.3333 0.6667
Ho 0.5000 0.6667 0.3333
Ho 0.5000 0.2561 0.2561
Ho 0.5000 0.0000 0.7439
Ho 0.5000 0.7439 0.0000
Sc 0.5000 0.6212 0.6212
Sc 0.5000 0.0000 0.3788
Sc 0.5000 0.3788 0.0000

Computed properties:
- density (g/cm³) = 4.9
- space group = No. 189
- E (eV per atom) = -4.80
- total magnetic moment (Bohr magnetons per cell) = 0.06

Y2HoSc6 | PBE-GGA | relaxed

abc: 3.3116 9.7596 9.7596
angles: 56.06 70.14 70.14
Fractional positions:
Y 0.3332 0.3334 0.3334
Y 0.6669 0.6666 0.6666
Ho 0.9999 0.0000 0.0000
Sc 0.1670 0.0001 0.3328
Sc 0.8329 0.9999 0.6672
Sc 0.8329 0.6672 0.9999
Sc 0.5001 0.3327 0.6673
Sc 0.5001 0.6673 0.3327
Sc 0.1670 0.3328 0.0001

Computed properties:
- density (g/cm³) = 4.2
- space group = No. 191
- E (eV per atom) = -6.10
- total magnetic moment (Bohr magnetons per cell) = 0.00